{"formula": "SiNiF6", "functional": "PBE+U", "state": "optimized geometry", "vol_a3_per_fu": 87.1, "sg": "P-31c, No. 163", "total_energy_ev_per_cell": -82.29, "magnetic_moment_mub_per_cell": 4.14, "lattice_angstrom": [[-3.9619, 1.9593, 1.7981], [1.1267, -4.5121, 1.0679], [4.5738, 2.8041, 7.0222]], "species": ["Si", "Si", "Ni", "Ni", "F", "F", "F", "F", "F", "F", "F", "F", "F", "F", "F", "F"], "fractional_positions": [[0.0000, 0.0000, 0.5000], [0.0000, 0.0000, 0.0000], [0.3333, 0.6667, 0.2500], [0.6667, 0.3333, 0.7500], [0.2849, 0.3022, 0.3880], [0.7151, 0.6978, 0.6120], [0.0173, 0.7151, 0.3880], [0.2849, 0.9827, 0.1120], [0.9827, 0.2849, 0.6120], [0.7151, 0.0173, 0.8880], [0.6978, 0.9827, 0.3880], [0.0173, 0.3022, 0.1120], [0.3022, 0.0173, 0.6120], [0.9827, 0.6978, 0.8880], [0.6978, 0.7151, 0.1120], [0.3022, 0.2849, 0.8880]]}